Entry P
K2MoIr | the Alexandria database | PBE | optimized geometry; SG = I4/mmm, No. 139
1.0
6.429 0.000 0.000
4.154 4.907 0.000
-5.292 -2.454 2.704
K Ir Mo
2 1 1
Direct
0.000 0.000 0.000
0.500 0.500 0.000
0.750 0.250 0.500
0.250 0.750 0.500

=====

Entry Q
K2MoIr | the Alexandria database | PBE | optimized geometry; SG = Pmmm, No. 47
1.0
-1.030 -0.670 2.499
4.287 -3.814 0.744
2.981 3.787 2.244
Mo Ir K
1 1 2
Direct
0.500 0.500 0.250
0.500 0.500 0.750
0.000 0.000 0.503
0.000 0.000 0.997

=====

Which one sits at the top of the stability order? entry P does.

=====

Entry P
K2MoIr | the Alexandria database | PBE | optimized geometry; SG = Immm, No. 71
1.0
10.534 0.053 0.050
9.271 5.003 -0.050
-9.777 -3.020 2.504
Ir K Mo
1 2 1
Direct
0.250 0.750 0.500
0.104 0.104 0.000
0.396 0.396 0.000
0.750 0.250 0.500

=====

Entry Q
K2MoIr | the Alexandria database | PBE | optimized geometry; SG = Imm2, No. 44
1.0
6.524 -0.025 0.003
2.662 5.956 -0.003
-3.790 -4.209 3.238
Mo Ir K
1 1 2
Direct
0.427 0.427 0.000
0.306 0.806 0.500
0.736 0.236 0.500
0.031 0.031 0.000

=====

Which one sits at the top of the stability order? entry P does.

=====

Entry P
K2MoIr | the Alexandria database | PBE | optimized geometry; SG = Cmmm, No. 65
1.0
-0.652 -0.394 6.306
-4.196 -1.034 -4.654
0.759 -2.681 -0.089
K Mo Ir
2 1 1
Direct
0.000 0.000 0.000
0.500 0.500 0.000
0.500 0.000 0.500
0.000 0.500 0.500

=====

Entry Q
K2MoIr | the Alexandria database | PBE | optimized geometry; SG = R-3m, No. 166
1.0
-2.232 -10.344 5.555
-3.140 -11.142 2.974
-0.380 -11.375 3.649
Ir K Mo
1 2 1
Direct
0.750 0.750 0.750
0.005 0.005 0.005
0.495 0.495 0.495
0.250 0.250 0.250

=====

Entry R
K2MoIr | the Alexandria database | PBE | optimized geometry; SG = P4/mmm, No. 123
1.0
-0.028 2.936 5.039
1.642 -2.982 1.747
3.456 1.427 -0.812
K Ir Mo
2 1 1
Direct
0.000 0.500 0.500
0.000 0.000 0.000
0.500 0.000 0.500
0.500 0.500 0.000

=====

Entry S
K2MoIr | the Alexandria database | PBE | optimized geometry; SG = Fm-3m, No. 225
1.0
-3.728 -2.632 2.801
-5.187 1.087 -0.765
-3.153 -3.575 -2.439
Mo Ir K
1 1 2
Direct
0.000 0.000 0.000
0.500 0.500 0.500
0.250 0.250 0.250
0.750 0.750 0.750

=====

Which one sits at the top of the stability order? entry R does.

=====

Entry P
K2MoIr | the Alexandria database | PBE | optimized geometry; SG = P2/m, No. 10
1.0
5.925 0.000 0.000
0.000 2.834 -0.007
0.000 0.279 4.962
K Mo Ir
2 1 1
Direct
0.000 0.511 0.505
0.000 0.989 0.995
0.500 0.250 0.250
0.500 0.750 0.750

=====

Entry Q
K2MoIr | the Alexandria database | PBE | optimized geometry; SG = Pmm2, No. 25
1.0
3.361 0.000 0.000
0.000 3.351 0.000
0.000 0.000 10.717
Ir Mo K
1 1 2
Direct
0.500 0.500 0.674
0.000 0.000 0.584
0.000 0.000 0.914
0.500 0.500 0.328

=====

Which one sits at the top of the stability order? entry Q does.

=====

Entry P
KMo3Ir | the Alexandria database | PBE | optimized geometry; SG = Pm-3m, No. 221
1.0
-2.377 1.750 -3.932
-2.987 -3.904 0.068
-3.098 2.422 2.951
Mo K Ir
3 1 1
Direct
0.000 0.500 0.000
0.000 0.000 0.500
0.500 0.000 0.000
0.500 0.500 0.500
0.000 0.000 0.000

=====

Entry Q
KMo3Ir | the Alexandria database | PBE | optimized geometry; SG = Pm-3m, No. 221
1.0
-0.494 -2.520 -3.581
3.647 1.757 -1.740
2.423 -3.159 1.888
K Mo Ir
1 3 1
Direct
0.000 0.000 0.000
0.500 0.000 0.000
0.000 0.000 0.500
0.000 0.500 0.000
0.500 0.500 0.500

=====

Which one sits at the top of the stability order? entry P does.

=====

Entry P
KMoIr | the Alexandria database | PBE | optimized geometry; SG = Imm2, No. 44
1.0
-6.002 -2.889 -1.843
-3.366 -5.996 0.694
3.305 5.701 2.083
Mo K Ir
1 1 1
Direct
0.383 0.383 0.000
0.660 0.660 0.000
0.957 0.957 0.000

=====

Entry Q
KMoIr | the Alexandria database | PBE | optimized geometry; SG = P3m1, No. 156
1.0
-2.222 0.993 1.516
0.262 -2.814 -0.484
4.336 -0.776 6.864
Mo Ir K
1 1 1
Direct
0.667 0.333 0.713
0.000 0.000 0.966
0.333 0.667 0.321

=====

Which one sits at the top of the stability order? entry P does.

=====

Entry P
KMoIr | the Alexandria database | PBE | optimized geometry; SG = Fmm2, No. 42
1.0
8.509 -0.006 0.004
7.856 2.709 0.000
0.654 -1.076 2.493
K Mo Ir
1 1 1
Direct
0.341 0.341 0.659
0.646 0.646 0.354
0.013 0.013 0.987

=====

Entry Q
KMoIr | the Alexandria database | PBE | optimized geometry; SG = I4mm, No. 107
1.0
-0.198 -7.239 1.494
2.121 -6.695 -2.313
0.937 7.159 1.594
K Mo Ir
1 1 1
Direct
0.345 0.345 0.000
0.619 0.619 0.000
0.036 0.036 0.000

=====

Which one sits at the top of the stability order? entry Q does.

=====

Entry P
KIrN2 | the Alexandria database | PBE | optimized geometry; SG = Fm-3m, No. 225
1.0
-3.419 0.795 1.976
-3.554 -0.631 -1.789
-2.365 -3.020 1.229
N K Ir
2 1 1
Direct
0.750 0.750 0.750
0.250 0.250 0.250
0.000 0.000 0.000
0.500 0.500 0.500

=====

Entry Q
KIrN2 | the Alexandria database | PBE | optimized geometry; SG = I-42d, No. 122
1.0
-4.999 1.076 -3.242
-3.259 -3.222 3.956
-4.746 1.951 2.312
N Ir K
4 2 2
Direct
0.875 0.002 0.750
0.375 0.248 0.750
0.998 0.625 0.250
0.752 0.125 0.250
0.750 0.250 0.500
0.000 0.000 0.000
0.500 0.500 0.000
0.250 0.750 0.500

=====

Which one sits at the top of the stability order? entry Q does.